Pa2Cr2MoC4 after structural relaxation, computed with PBE.

a b c (Å): 13.420 3.094 5.540
angles (deg): 90.00 103.28 90.00
Space group C2/m (No. 12)
Symmetry-distinct sites (fractional):
Pa 0.125 0.000 0.023 [4 per cell]
Cr 0.179 0.500 0.530 [4 per cell]
Mo 0.000 0.000 0.500 [2 per cell]
C 0.043 0.500 0.267 [4 per cell]
C 0.242 0.000 0.736 [4 per cell]

Results
**Volume**: 12.44 Å³ per atom
**Formation enthalpy at 0 K**: -0.209 eV per atom